Record 1
{"formula": "PmDy3Sb4", "functional": "GGA-PBE", "state": "optimized geometry", "space_group": "No. 221", "energy_ev_per_atom": -5.526, "vol_a3_per_cell": 242.5, "cell": [[6.236, 0.000, 0.000], [0.000, 6.236, 0.000], [0.000, 0.000, 6.236]], "species": ["Pm", "Sb", "Dy", "Sb", "Sb", "Dy", "Dy", "Sb"], "fractional_positions": [[0.000, 0.000, 0.000], [0.500, 0.000, 0.000], [0.500, 0.500, 0.000], [0.000, 0.500, 0.000], [0.000, 0.000, 0.500], [0.000, 0.500, 0.500], [0.500, 0.000, 0.500], [0.500, 0.500, 0.500]]}

=====

Record 2
{"formula": "PmDySb2", "functional": "GGA-PBE", "state": "optimized geometry", "e_above_lowest_polymorph_ev_per_atom": 0.279, "space_group": "No. 123", "energy_ev_per_atom": -5.278, "vol_a3_per_cell": 110.8, "cell": [[-2.571, -1.370, -1.666], [3.672, -3.258, -2.988], [-0.398, -4.112, 3.995]], "species": ["Sb", "Sb", "Pm", "Dy"], "fractional_positions": [[0.000, 0.500, 0.000], [0.000, 0.000, 0.500], [0.500, 0.500, 0.500], [0.500, 0.000, 0.000]]}

=====

Record 3
{"formula": "Pm5DySb4", "functional": "GGA-PBE", "state": "optimized geometry", "space_group": "No. 12", "energy_ev_per_atom": -5.269, "vol_a3_per_cell": 347.2, "cell": [[4.382, 0.000, 0.000], [0.000, 8.598, -0.592], [-2.191, -1.853, 9.342]], "species": ["Sb", "Pm", "Pm", "Sb", "Sb", "Pm", "Pm", "Sb", "Pm", "Dy"], "fractional_positions": [[0.667, 0.088, 0.335], [0.826, 0.652, 0.652], [0.835, 0.172, 0.671], [0.994, 0.749, 0.989], [0.006, 0.251, 0.011], [0.500, 0.500, 0.000], [0.174, 0.348, 0.348], [0.333, 0.912, 0.665], [0.165, 0.828, 0.329], [0.500, 0.000, 0.000]]}

=====

Record 4
{"formula": "Pm5Dy3Sb8", "functional": "GGA-PBE", "state": "optimized geometry", "space_group": "No. 166", "energy_ev_per_atom": -5.572, "vol_a3_per_cell": 499.3, "cell": [[7.729, 0.000, 4.427], [2.597, 7.280, 4.427], [0.033, 0.023, 8.903]], "species": ["Sb", "Sb", "Sb", "Sb", "Pm", "Pm", "Pm", "Sb", "Pm", "Sb", "Sb", "Dy", "Sb", "Dy", "Dy", "Pm"], "fractional_positions": [[0.752, 0.752, 0.743], [0.750, 0.750, 0.255], [0.250, 0.755, 0.745], [0.755, 0.250, 0.745], [0.500, 0.500, 0.500], [0.000, 0.000, 0.000], [0.500, 0.000, 0.000], [0.245, 0.750, 0.255], [0.500, 0.500, 0.000], [0.250, 0.250, 0.745], [0.750, 0.245, 0.255], [0.500, 0.000, 0.500], [0.248, 0.248, 0.257], [0.000, 0.000, 0.500], [0.000, 0.500, 0.500], [0.000, 0.500, 0.000]]}

=====

Record 5
{"formula": "Pm4DySb5", "functional": "GGA-PBE", "state": "optimized geometry", "space_group": "No. 139", "energy_ev_per_atom": -5.596, "vol_a3_per_cell": 316.0, "cell": [[-3.919, -1.043, 1.885], [-0.663, -3.140, -3.115], [9.531, -8.538, 9.790]], "species": ["Pm", "Sb", "Pm", "Pm", "Pm", "Sb", "Dy", "Sb", "Sb", "Sb"], "fractional_positions": [[0.801, 0.801, 0.601], [0.901, 0.901, 0.803], [0.400, 0.400, 0.801], [0.199, 0.199, 0.399], [0.600, 0.600, 0.199], [0.500, 0.500, 0.000], [0.000, 0.000, 0.000], [0.300, 0.300, 0.600], [0.700, 0.700, 0.400], [0.099, 0.099, 0.197]]}

=====

Record 6
{"formula": "Pm2DySb", "functional": "GGA-PBE", "state": "optimized geometry", "e_above_lowest_polymorph_ev_per_atom": 0.471, "space_group": "No. 166", "energy_ev_per_atom": -4.622, "vol_a3_per_cell": 147.6, "cell": [[-2.490, -2.886, -1.189], [-1.562, -2.517, 2.677], [-9.654, 4.801, 1.858]], "species": ["Pm", "Sb", "Dy", "Pm"], "fractional_positions": [[0.105, 0.105, 0.685], [0.500, 0.500, 0.500], [0.000, 0.000, 0.000], [0.895, 0.895, 0.315]]}